[1]
Here is a relaxed RbZn2Pb2 crystal from Alexandria. Energies are from PBE.

Calculated values
E_form ... 6 meV per atom
Distance to the lowest polymorph of the same formula ... 0.037 eV per atom
Symmetry ... I4/mmm (139)
Total DFT energy (no corrections) ... -2.181 eV per atom
DOS at the Fermi energy ... 1.84 states/eV/cell

```
RbZn2Pb2
1.0
-2.472 2.472 6.140
2.472 -2.472 6.140
2.472 2.472 -6.140
Rb Zn Pb
1 2 2
direct
0.000 0.000 0.000 Rb
0.250 0.750 0.500 Zn
0.750 0.250 0.500 Zn
0.371 0.371 0.000 Pb
0.629 0.629 0.000 Pb
```

=====

[2]
Here is a relaxed Rb2Zn2Pb crystal from Alexandria. Energies are from PBE.

Calculated values
E_form ... 69 meV per atom
Distance to the lowest polymorph of the same formula ... 0.000 eV per atom
Symmetry ... P4/mbm (127)
Total DFT energy (no corrections) ... -1.569 eV per atom
DOS at the Fermi energy ... 3.52 states/eV/cell

```
Rb2Zn2Pb
1.0
7.630 0.000 0.000
0.000 7.630 0.000
0.000 0.000 5.918
Rb Zn Pb
4 4 2
direct
0.183 0.317 0.000 Rb
0.317 0.817 0.000 Rb
0.683 0.183 0.000 Rb
0.817 0.683 0.000 Rb
0.125 0.625 0.500 Zn
0.375 0.125 0.500 Zn
0.625 0.875 0.500 Zn
0.875 0.375 0.500 Zn
0.000 0.000 0.500 Pb
0.500 0.500 0.500 Pb
```

=====

[3]
Here is a relaxed Rb2Zn2Pb crystal from Alexandria. Energies are from PBE.

Calculated values
E_form ... 122 meV per atom
Distance to the lowest polymorph of the same formula ... 0.053 eV per atom
Symmetry ... I4/mmm (139)
Total DFT energy (no corrections) ... -1.516 eV per atom
DOS at the Fermi energy ... 3.59 states/eV/cell

```
Rb2Zn2Pb
1.0
-1.866 1.866 12.401
1.866 -1.866 12.401
1.866 1.866 -12.401
Rb Zn Pb
2 2 1
direct
0.116 0.116 0.000 Rb
0.884 0.884 0.000 Rb
0.250 0.750 0.500 Zn
0.750 0.250 0.500 Zn
0.500 0.500 0.000 Pb
```

=====

[4]
Here is a relaxed Rb2ZnPb crystal from Alexandria. Energies are from PBE.

Calculated values
E_form ... 79 meV per atom
Symmetry ... I-42d (122)
Total DFT energy (no corrections) ... -1.650 eV per atom
DOS at the Fermi energy ... 6.34 states/eV/cell

```
Rb2ZnPb
1.0
-6.661 6.661 2.642
6.661 -6.661 2.642
6.661 6.661 -2.642
Rb Zn Pb
4 2 2
direct
0.375 0.200 0.325 Rb
0.800 0.125 0.175 Rb
0.875 0.050 0.675 Rb
0.950 0.625 0.825 Rb
0.000 0.000 0.000 Zn
0.750 0.250 0.500 Zn
0.250 0.750 0.500 Pb
0.500 0.500 0.000 Pb
```